LiCuPd2 (GGA-PBE, optimized geometry); energy above the most stable polymorph in this dataset = 0.178 eV per atom
1.0
-0.5735 2.1414 3.5425
-0.4104 -6.6660 3.9631
7.1809 0.1831 1.0517
Pd Cu Li
8 4 4
Direct
0.9995 0.0802 0.3339 Pd
0.5005 0.0802 0.8339 Pd
0.0005 0.5802 0.6661 Pd
0.9995 0.4197 0.3339 Pd
0.0005 0.9197 0.6661 Pd
0.5005 0.4197 0.8339 Pd
0.4995 0.9197 0.1661 Pd
0.4995 0.5802 0.1661 Pd
0.9992 0.7500 0.3321 Cu
0.5008 0.7500 0.8321 Cu
0.0008 0.2500 0.6679 Cu
0.4992 0.2500 0.1679 Cu
0.9995 0.2500 0.0010 Li
0.5005 0.2500 0.5010 Li
0.4995 0.7500 0.4990 Li
0.0005 0.7500 0.9990 Li